Record 1
Compound: CuI
Source: Alexandria
Functional: GGA-PBEsol
Structure: relaxed

Results
For the density, the calculation gives 6072 kg/m³. The raw formation energy comes out at -0.222 eV per formula unit. The magnetization comes out at 0.000 Bohr magnetons per cell.

Geometry as POSCAR:
```
CuI
1.0
4.192 0.000 0.000
2.096 3.630 0.000
2.096 1.210 3.423
I Cu
1 1
direct
0.750 0.750 0.750
0.000 0.000 0.000
```


Record 2
Compound: Tc5Mo
Source: Alexandria
Functional: GGA-PBEsol
Structure: relaxed

Results
For the density, the calculation gives 11414 kg/m³. The magnetization comes out at 0.000 Bohr magnetons per cell. As for the formation energy: 69 meV per atom. The calculation puts the energy relative to the lowest polymorph listed for this composition at 0 meV/atom.

Geometry as POSCAR:
```
Tc5Mo
1.0
2.733 0.000 0.000
-1.366 4.992 -0.007
0.000 -1.658 6.250
Tc Mo
5 1
direct
0.056 0.112 0.607
0.727 0.453 0.941
0.669 0.338 0.339
0.384 0.767 0.282
0.331 0.662 0.663
0.001 0.001 0.001
```


Record 3
Compound: LiSc2Ni
Source: Alexandria
Functional: GGA-PBEsol
Structure: relaxed

Results
For the density, the calculation gives 4054 kg/m³. The magnetization comes out at 0.000 Bohr magnetons per cell. As for the formation energy: 58 meV per atom.

Geometry as POSCAR:
```
LiSc2Ni
1.0
-0.559 2.260 3.831
-2.903 -1.487 3.076
1.506 -1.720 3.857
Sc Ni Li
2 1 1
direct
0.250 0.250 0.250
0.000 0.000 0.000
0.750 0.750 0.750
0.500 0.500 0.500
```


Record 4
Compound: CsNbInPd2
Source: Alexandria
Functional: GGA-PBEsol
Structure: relaxed

Results
For the density, the calculation gives 6579 kg/m³. The magnetization comes out at 0.002 Bohr magnetons per cell. As for the formation energy: 1083 meV per atom.

Geometry as POSCAR:
```
CsNbInPd2
1.0
-4.002 0.852 2.712
0.020 -4.675 1.498
3.356 1.454 4.496
Pd In Cs Nb
2 1 1 1
direct
0.500 0.000 0.000
0.000 0.500 0.000
0.500 0.500 0.500
0.000 0.000 0.500
0.000 0.000 0.000
```


Record 5
Compound: SrTeOsN2
Source: Alexandria
Functional: GGA-PBEsol
Structure: relaxed

Results
For the density, the calculation gives 7895 kg/m³. The raw formation energy comes out at 1.215 eV per formula unit. The magnetization comes out at 0.001 Bohr magnetons per cell.

Geometry as POSCAR:
```
SrTeOsN2
1.0
-2.091 -2.893 -1.884
3.249 -2.394 0.069
-1.618 -2.053 4.948
Te N Os Sr
1 2 1 1
direct
0.000 0.000 0.500
0.000 0.500 0.000
0.500 0.000 0.000
0.000 0.000 0.000
0.500 0.500 0.500
```


Record 6
Compound: Nb3ZnGa
Source: Alexandria
Functional: GGA-PBEsol
Structure: relaxed

Results
For the density, the calculation gives 6884 kg/m³. The magnetization comes out at 0.000 Bohr magnetons per cell. As for the formation energy: 1070 meV per atom.

Geometry as POSCAR:
```
Nb3ZnGa
1.0
4.639 0.000 0.000
0.000 4.639 0.000
0.000 0.000 4.639
Nb Ga Zn
3 1 1
direct
0.000 0.000 0.500
0.000 0.500 0.000
0.500 0.000 0.000
0.500 0.500 0.500
0.000 0.000 0.000
```


Record 7
Compound: Cs3BeS
Source: Alexandria
Functional: GGA-PBEsol
Structure: relaxed

Results
For the density, the calculation gives 2522 kg/m³. The raw formation energy comes out at 0.348 eV per formula unit. The magnetization comes out at 0.855 Bohr magnetons per cell.

Geometry as POSCAR:
```
Cs3BeS
1.0
-1.245 1.340 6.358
4.436 -4.556 1.829
4.748 4.607 -0.041
Be Cs S
1 3 1
direct
0.500 0.500 0.500
0.500 0.000 0.000
0.000 0.000 0.500
0.000 0.500 0.000
0.000 0.000 0.000
```


Record 8
Compound: MgAsSCl2
Source: Alexandria
Functional: GGA-PBEsol
Structure: relaxed

Results
For the density, the calculation gives 2877 kg/m³. The raw formation energy comes out at -1.284 eV per formula unit. The magnetization comes out at 0.000 Bohr magnetons per cell.

Geometry as POSCAR:
```
MgAsSCl2
1.0
4.905 0.000 0.000
0.000 4.905 0.000
0.000 0.000 4.850
S Cl As Mg
1 2 1 1
direct
0.000 0.000 0.500
0.500 0.000 0.000
0.000 0.500 0.000
0.000 0.000 0.000
0.500 0.500 0.500
```


Record 9
Compound: CdCuRu2
Source: Alexandria
Functional: GGA-PBEsol
Structure: relaxed

Results
For the density, the calculation gives 10982 kg/m³. The magnetization comes out at 0.000 Bohr magnetons per cell. As for the formation energy: 448 meV per atom.

Geometry as POSCAR:
```
CdCuRu2
1.0
-0.089 3.681 2.267
-1.284 -0.034 4.129
2.873 0.661 3.163
Ru Cd Cu
2 1 1
direct
0.000 0.000 0.000
0.750 0.750 0.750
0.500 0.500 0.500
0.250 0.250 0.250
```


Record 10
Compound: Li2ZrIn2
Source: Alexandria
Functional: GGA-PBEsol
Structure: relaxed

Results
For the density, the calculation gives 6052 kg/m³. The magnetization comes out at 0.000 Bohr magnetons per cell. As for the formation energy: -256 meV per atom.

Geometry as POSCAR:
```
Li2ZrIn2
1.0
-1.577 2.087 1.329
-6.101 -1.559 -4.791
-2.701 -5.339 5.178
Li In Zr
4 4 2
direct
0.000 0.615 0.115
0.000 0.385 0.885
0.000 0.115 0.385
0.000 0.885 0.615
0.500 0.682 0.818
0.500 0.318 0.182
0.500 0.182 0.682
0.500 0.818 0.318
0.000 0.500 0.500
0.000 0.000 0.000
```


Record 11
Compound: ZrCdIn3
Source: Alexandria
Functional: GGA-PBEsol
Structure: relaxed

Results
For the density, the calculation gives 6471 kg/m³. The magnetization comes out at 0.001 Bohr magnetons per cell. As for the formation energy: 795 meV per atom.

Geometry as POSCAR:
```
ZrCdIn3
1.0
-1.607 -1.687 -4.650
-1.194 -4.612 2.086
-4.800 1.712 1.037
In Zr Cd
3 1 1
direct
0.000 0.000 0.500
0.000 0.500 0.000
0.500 0.000 0.000
0.500 0.500 0.500
0.000 0.000 0.000
```


Record 12
Compound: CdClF2
Source: Alexandria
Functional: GGA-PBEsol
Structure: relaxed

Results
For the density, the calculation gives 4630 kg/m³. The raw formation energy comes out at -4.600 eV per formula unit. The magnetization comes out at 2.022 Bohr magnetons per cell.

Geometry as POSCAR:
```
CdClF2
1.0
-2.674 6.356 0.261
0.029 -3.900 4.054
5.375 2.409 -3.594
F Cd Cl
4 2 2
direct
0.625 0.750 0.037
0.963 0.250 0.875
0.125 0.750 0.713
0.287 0.250 0.375
0.250 0.500 0.750
0.000 0.000 0.000
0.500 0.000 0.500
0.750 0.500 0.250
```